A plane-wave DFT calculation with PBE-GGA was carried out for a relaxed Li2Al2Ag crystal.

Results
As for the crystal system: tetragonal. As for the formation energy: -0.06 eV per atom. For the polymorph energy (0 for the lowest one), the calculation gives 0.160 eV/atom.

Lattice parameters (Å, degrees): 6.989 6.989 3.421 90.00 90.00 90.00
Space group P4/mbm (No. 127)
Asymmetric unit:
Li1 0.162 0.338 0.000 x4
Al1 0.137 0.637 0.500 x4
Ag1 0.000 0.000 0.500 x2